--- a ---
Material: TaAlMo
Method: DFT, SCAN
State: PBEsol geometry

Cell: 3.331 3.331 8.714 Å, 90.00 90.00 90.00°
Fractional coordinates of all 6 atoms:
Ta  0.000  0.000  0.000
Ta  0.500  0.500  0.500
Al  0.000  0.000  0.679
Al  0.500  0.500  0.179
Mo  0.000  0.000  0.345
Mo  0.500  0.500  0.845

Space-group type ... No. 107
Theoretical density ... 10.44 Mg/m³

---

--- b ---
Material: TaAlMo
Method: DFT, SCAN
State: PBEsol geometry

Cell: 4.495 4.495 2.750 Å, 90.00 90.00 120.00°
Fractional coordinates of all 3 atoms:
Ta  0.000  0.000  0.000
Al  0.333  0.667  0.394
Mo  0.667  0.333  0.724

Space-group type ... No. 156
Theoretical density ... 10.48 Mg/m³

---

a is preferred energetically. Next in line: 2.2 kJ/mol of atoms higher.

---

--- a ---
Material: AlTcMo
Method: DFT, SCAN
State: PBEsol geometry

Cell: 3.069 3.069 9.180 Å, 90.00 90.00 90.00°
Fractional coordinates of all 6 atoms:
Al  0.000  0.000  0.000
Al  0.500  0.500  0.500
Tc  0.000  0.000  0.331
Tc  0.500  0.500  0.831
Mo  0.000  0.000  0.679
Mo  0.500  0.500  0.179

Space-group type ... No. 107
Theoretical density ... 8.49 Mg/m³

---

--- b ---
Material: AlTcMo
Method: DFT, SCAN
State: PBEsol geometry

Cell: 5.916 5.916 5.916 Å, 90.00 90.00 90.00°
Fractional coordinates of all 12 atoms:
Al  0.000  0.000  0.000
Al  0.000  0.500  0.500
Al  0.500  0.000  0.500
Al  0.500  0.500  0.000
Tc  0.000  0.000  0.500
Tc  0.000  0.500  0.000
Tc  0.500  0.000  0.000
Tc  0.500  0.500  0.500
Mo  0.250  0.250  0.750
Mo  0.250  0.750  0.250
Mo  0.750  0.250  0.250
Mo  0.750  0.750  0.750

Space-group type ... No. 216
Theoretical density ... 7.09 Mg/m³

---

a is preferred energetically. Next in line: 76.8 kJ/mol of atoms higher.

---

--- a ---
Material: Al2TlMo
Method: DFT, SCAN
State: PBEsol geometry

Cell: 2.904 4.759 4.949 Å, 90.00 90.00 90.00°
Fractional coordinates of all 4 atoms:
Al  0.000  0.000  0.000
Al  0.500  0.500  0.192
Tl  0.500  0.000  0.506
Mo  0.000  0.500  0.729

Space-group type ... No. 25
Theoretical density ... 8.60 Mg/m³

---

--- b ---
Material: Al2TlMo
Method: DFT, SCAN
State: PBEsol geometry

Cell: 2.910 2.910 8.771 Å, 90.00 90.00 90.00°
Fractional coordinates of all 4 atoms:
Al  0.000  0.000  0.203
Al  0.000  0.000  0.797
Tl  0.500  0.500  0.500
Mo  0.500  0.500  0.000

Space-group type ... No. 123
Theoretical density ... 7.92 Mg/m³

---

--- c ---
Material: Al2TlMo
Method: DFT, SCAN
State: PBEsol geometry

Cell: 9.703 2.883 5.027 Å, 90.00 96.64 90.00°
Fractional coordinates of all 8 atoms:
Al  0.235  0.000  0.220
Al  0.265  0.500  0.780
Al  0.735  0.500  0.220
Al  0.765  0.000  0.780
Tl  0.000  0.000  0.500
Tl  0.500  0.500  0.500
Mo  0.000  0.500  0.000
Mo  0.500  0.000  0.000

Space-group type ... No. 12
Theoretical density ... 8.42 Mg/m³

---

--- d ---
Material: Al2TlMo
Method: DFT, SCAN
State: PBEsol geometry

Cell: 2.863 2.863 8.750 Å, 90.00 90.00 90.00°
Fractional coordinates of all 4 atoms:
Al  0.000  0.000  0.000
Al  0.500  0.500  0.229
Tl  0.500  0.500  0.705
Mo  0.000  0.000  0.440

Space-group type ... No. 99
Theoretical density ... 8.20 Mg/m³

---

a is preferred energetically. Next in line: 1.1 kJ/mol of atoms higher.

---

--- a ---
Material: AlTlMo2
Method: DFT, SCAN
State: PBEsol geometry

Cell: 3.329 4.456 4.493 Å, 90.00 90.00 90.00°
Fractional coordinates of all 4 atoms:
Al  0.000  0.000  0.000
Tl  0.500  0.000  0.500
Mo  0.000  0.500  0.500
Mo  0.500  0.500  0.000

Space-group type ... No. 47
Theoretical density ... 10.55 Mg/m³

---

--- b ---
Material: AlTlMo2
Method: DFT, SCAN
State: PBEsol geometry

Cell: 2.841 4.440 5.525 Å, 90.00 100.06 90.00°
Fractional coordinates of all 4 atoms:
Al  0.000  0.000  0.000
Tl  0.500  0.000  0.500
Mo  0.296  0.500  0.786
Mo  0.704  0.500  0.214

Space-group type ... No. 10
Theoretical density ... 10.24 Mg/m³

---

b is preferred energetically. Next in line: 4.3 kJ/mol of atoms higher.

---

--- a ---
Material: AlTlMo2
Method: DFT, SCAN
State: PBEsol geometry

Cell: 6.413 6.413 6.413 Å, 90.00 90.00 90.00°
Fractional coordinates of all 16 atoms:
Al  0.000  0.000  0.000
Al  0.000  0.500  0.500
Al  0.500  0.000  0.500
Al  0.500  0.500  0.000
Tl  0.000  0.000  0.500
Tl  0.000  0.500  0.000
Tl  0.500  0.000  0.000
Tl  0.500  0.500  0.500
Mo  0.250  0.250  0.250
Mo  0.250  0.250  0.750
Mo  0.250  0.750  0.250
Mo  0.250  0.750  0.750
Mo  0.750  0.250  0.250
Mo  0.750  0.250  0.750
Mo  0.750  0.750  0.250
Mo  0.750  0.750  0.750

Space-group type ... No. 225
Theoretical density ... 10.66 Mg/m³

---

--- b ---
Material: AlTlMo2
Method: DFT, SCAN
State: PBEsol geometry

Cell: 3.357 4.525 8.835 Å, 90.00 90.00 90.00°
Fractional coordinates of all 8 atoms:
Al  0.000  0.000  0.000
Al  0.500  0.500  0.000
Tl  0.000  0.000  0.500
Tl  0.500  0.500  0.500
Mo  0.000  0.500  0.232
Mo  0.000  0.500  0.768
Mo  0.500  0.000  0.232
Mo  0.500  0.000  0.768

Space-group type ... No. 65
Theoretical density ... 10.47 Mg/m³

---

b is preferred energetically. Next in line: 20.4 kJ/mol of atoms higher.

---

--- a ---
Material: AlSbSeN2
Method: DFT, SCAN
State: PBEsol geometry

Cell: 3.945 3.945 5.554 Å, 90.00 90.00 90.00°
Fractional coordinates of all 5 atoms:
Al  0.000  0.000  0.000
Sb  0.500  0.500  0.500
Se  0.500  0.500  0.000
N  0.000  0.500  0.500
N  0.500  0.000  0.500

Space-group type ... No. 123
Theoretical density ... 4.91 Mg/m³

---

--- b ---
Material: AlSbSeN2
Method: DFT, SCAN
State: PBEsol geometry

Cell: 3.847 3.847 5.091 Å, 90.00 90.00 90.00°
Fractional coordinates of all 5 atoms:
Al  0.000  0.000  0.000
Sb  0.500  0.500  0.500
Se  0.000  0.000  0.500
N  0.000  0.500  0.000
N  0.500  0.000  0.000

Space-group type ... No. 123
Theoretical density ... 5.64 Mg/m³

---

b is preferred energetically. Next in line: 39.8 kJ/mol of atoms higher.

---

--- a ---
Material: ZrAlSe2N
Method: DFT, SCAN
State: PBEsol geometry

Cell: 5.271 5.271 3.936 Å, 90.00 90.00 90.00°
Fractional coordinates of all 5 atoms:
Zr  0.000  0.000  0.000
Al  0.500  0.500  0.500
Se  0.000  0.500  0.000
Se  0.500  0.000  0.000
N  0.000  0.000  0.500

Space-group type ... No. 123
Theoretical density ... 4.41 Mg/m³

---

--- b ---
Material: ZrAlSe2N
Method: DFT, SCAN
State: PBEsol geometry

Cell: 4.932 4.932 3.528 Å, 90.00 90.00 90.00°
Fractional coordinates of all 5 atoms:
Zr  0.000  0.000  0.000
Al  0.500  0.500  0.500
Se  0.000  0.500  0.500
Se  0.500  0.000  0.500
N  0.500  0.500  0.000

Space-group type ... No. 123
Theoretical density ... 5.61 Mg/m³

---

b is preferred energetically. Next in line: 18.0 kJ/mol of atoms higher.

---

--- a ---
Material: AlTeN2
Method: DFT, SCAN
State: PBEsol geometry

Cell: 3.104 3.104 18.067 Å, 90.00 90.00 120.00°
Fractional coordinates of all 12 atoms:
Al  0.000  0.000  0.000
Al  0.333  0.667  0.667
Al  0.667  0.333  0.333
Te  0.000  0.000  0.500
Te  0.333  0.667  0.167
Te  0.667  0.333  0.833
N  0.000  0.000  0.387
N  0.000  0.000  0.613
N  0.333  0.667  0.054
N  0.333  0.667  0.280
N  0.667  0.333  0.720
N  0.667  0.333  0.946

Space-group type ... No. 166
Theoretical density ... 6.03 Mg/m³

---

--- b ---
Material: AlTeN2
Method: DFT, SCAN
State: PBEsol geometry

Cell: 5.066 5.066 8.713 Å, 90.00 90.00 90.00°
Fractional coordinates of all 16 atoms:
Al  0.000  0.000  0.000
Al  0.000  0.500  0.250
Al  0.500  0.000  0.750
Al  0.500  0.500  0.500
Te  0.000  0.000  0.500
Te  0.000  0.500  0.750
Te  0.500  0.000  0.250
Te  0.500  0.500  0.000
N  0.170  0.250  0.125
N  0.250  0.670  0.375
N  0.250  0.830  0.875
N  0.330  0.250  0.625
N  0.670  0.750  0.625
N  0.750  0.170  0.875
N  0.750  0.330  0.375
N  0.830  0.750  0.125

Space-group type ... No. 122
Theoretical density ... 5.42 Mg/m³

---

a is preferred energetically. Next in line: 17.5 kJ/mol of atoms higher.

---

--- a ---
Material: AlTlN2
Method: DFT, SCAN
State: PBEsol geometry

Cell: 3.145 3.145 17.966 Å, 90.00 90.00 120.00°
Fractional coordinates of all 12 atoms:
Al  0.000  0.000  0.000
Al  0.333  0.667  0.667
Al  0.667  0.333  0.333
Tl  0.000  0.000  0.500
Tl  0.333  0.667  0.167
Tl  0.667  0.333  0.833
N  0.000  0.000  0.386
N  0.000  0.000  0.614
N  0.333  0.667  0.053
N  0.333  0.667  0.280
N  0.667  0.333  0.720
N  0.667  0.333  0.947

Space-group type ... No. 166
Theoretical density ... 8.40 Mg/m³

---

--- b ---
Material: AlTlN2
Method: DFT, SCAN
State: PBEsol geometry

Cell: 5.723 5.723 5.723 Å, 90.00 90.00 90.00°
Fractional coordinates of all 16 atoms:
Al  0.000  0.000  0.000
Al  0.000  0.500  0.500
Al  0.500  0.000  0.500
Al  0.500  0.500  0.000
Tl  0.000  0.000  0.500
Tl  0.000  0.500  0.000
Tl  0.500  0.000  0.000
Tl  0.500  0.500  0.500
N  0.250  0.250  0.250
N  0.250  0.250  0.750
N  0.250  0.750  0.250
N  0.250  0.750  0.750
N  0.750  0.250  0.250
N  0.750  0.250  0.750
N  0.750  0.750  0.250
N  0.750  0.750  0.750

Space-group type ... No. 225
Theoretical density ... 9.19 Mg/m³

---

a is preferred energetically. Next in line: 126.4 kJ/mol of atoms higher.

---

--- a ---
Material: NaAl3Zn
Method: DFT, SCAN
State: PBEsol geometry

Cell: 4.829 4.829 4.829 Å, 90.00 90.00 90.00°
Fractional coordinates of all 5 atoms:
Na  0.000  0.000  0.000
Al  0.000  0.500  0.500
Al  0.500  0.000  0.500
Al  0.500  0.500  0.000
Zn  0.500  0.500  0.500

Space-group type ... No. 221
Theoretical density ... 2.50 Mg/m³

---

--- b ---
Material: NaAl3Zn
Method: DFT, SCAN
State: PBEsol geometry

Cell: 5.062 5.062 5.062 Å, 90.00 90.00 90.00°
Fractional coordinates of all 5 atoms:
Na  0.000  0.000  0.000
Al  0.000  0.000  0.500
Al  0.000  0.500  0.000
Al  0.500  0.000  0.000
Zn  0.500  0.500  0.500

Space-group type ... No. 221
Theoretical density ... 2.17 Mg/m³

---

a is preferred energetically. Next in line: 84.9 kJ/mol of atoms higher.

---

--- a ---
Material: Nd3Al
Method: DFT, SCAN
State: PBEsol geometry

Cell: 6.968 6.968 5.334 Å, 90.00 90.00 120.00°
Fractional coordinates of all 8 atoms:
Nd  0.178  0.356  0.250
Nd  0.178  0.822  0.250
Nd  0.356  0.178  0.750
Nd  0.644  0.822  0.250
Nd  0.822  0.178  0.750
Nd  0.822  0.644  0.750
Al  0.333  0.667  0.750
Al  0.667  0.333  0.250

Space-group type ... No. 194
Theoretical density ... 6.81 Mg/m³

---

--- b ---
Material: Nd3Al
Method: DFT, SCAN
State: PBEsol geometry

Cell: 4.812 4.812 4.812 Å, 90.00 90.00 90.00°
Fractional coordinates of all 4 atoms:
Nd  0.000  0.000  0.500
Nd  0.000  0.500  0.000
Nd  0.500  0.000  0.000
Al  0.500  0.500  0.500

Space-group type ... No. 221
Theoretical density ... 6.85 Mg/m³

---

a is preferred energetically. Next in line: 2.2 kJ/mol of atoms higher.

---

--- a ---
Material: Sr3NdTaAl3O12
Method: DFT, SCAN
State: PBEsol geometry

Cell: 9.420 9.420 5.400 Å, 90.10 90.10 70.44°
Fractional coordinates of all 40 atoms:
Sr  0.000  0.000  0.000
Sr  0.003  0.475  0.500
Sr  0.262  0.235  0.001
Sr  0.525  0.997  0.500
Sr  0.765  0.738  0.999
Sr  0.768  0.232  0.500
Nd  0.264  0.736  0.500
Nd  0.533  0.467  0.000
Ta  0.135  0.605  0.001
Ta  0.395  0.865  0.999
Al  0.133  0.115  0.502
Al  0.393  0.356  0.502
Al  0.643  0.114  0.999
Al  0.644  0.607  0.498
Al  0.885  0.867  0.498
Al  0.886  0.357  0.001
O  0.000  0.491  0.999
O  0.011  0.989  0.500
O  0.012  0.241  0.748
O  0.019  0.235  0.244
O  0.019  0.750  0.246
O  0.031  0.738  0.729
O  0.250  0.981  0.754
O  0.255  0.488  0.276
O  0.262  0.969  0.271
O  0.271  0.473  0.760
O  0.273  0.225  0.501
O  0.287  0.713  0.000
O  0.494  0.506  0.500
O  0.509  0.000  0.001
O  0.512  0.745  0.724
O  0.515  0.251  0.238
O  0.524  0.243  0.748
O  0.527  0.729  0.240
O  0.749  0.485  0.762
O  0.757  0.476  0.252
O  0.759  0.988  0.252
O  0.764  0.236  0.000
O  0.765  0.981  0.756
O  0.775  0.727  0.499

Space-group type ... No. 5
Theoretical density ... 6.33 Mg/m³

---

--- b ---
Material: Sr3NdTaAl3O12
Method: DFT, SCAN
State: PBEsol geometry

Cell: 9.420 9.420 5.399 Å, 90.04 90.04 109.80°
Fractional coordinates of all 40 atoms:
Sr  0.115  0.388  0.501
Sr  0.126  0.874  0.000
Sr  0.388  0.115  0.501
Sr  0.640  0.898  0.499
Sr  0.874  0.126  0.000
Sr  0.898  0.640  0.499
Nd  0.373  0.658  0.002
Nd  0.658  0.373  0.002
Ta  0.253  0.253  0.998
Ta  0.515  0.515  0.501
Al  0.004  0.004  0.503
Al  0.008  0.512  0.000
Al  0.255  0.763  0.501
Al  0.512  0.008  0.000
Al  0.762  0.762  0.005
Al  0.763  0.255  0.501
O  0.115  0.115  0.773
O  0.133  0.885  0.501
O  0.137  0.633  0.250
O  0.138  0.392  0.001
O  0.142  0.637  0.760
O  0.147  0.147  0.284
O  0.359  0.359  0.687
O  0.382  0.637  0.499
O  0.383  0.878  0.242
O  0.386  0.882  0.751
O  0.392  0.138  0.001
O  0.416  0.416  0.181
O  0.612  0.612  0.805
O  0.628  0.876  0.000
O  0.633  0.137  0.250
O  0.637  0.142  0.760
O  0.637  0.382  0.499
O  0.656  0.656  0.284
O  0.870  0.870  0.734
O  0.876  0.628  0.000
O  0.878  0.383  0.242
O  0.882  0.386  0.751
O  0.885  0.133  0.501
O  0.895  0.895  0.232

Space-group type ... No. 8
Theoretical density ... 6.34 Mg/m³

---

b is preferred energetically. Next in line: 0.9 kJ/mol of atoms higher.